Computed, not measured: VZnF5 after structural relaxation at the GGA+U level of DFT.

a b c (Å): 5.349 5.349 7.655
angles (deg): 111.40 111.40 71.57
Fractional coordinates of all 14 atoms:
V 0.000 0.000 0.000
V 0.000 0.000 0.500
Zn 0.472 0.528 0.750
Zn 0.528 0.472 0.250
F 0.121 0.879 0.750
F 0.208 0.287 0.638
F 0.276 0.674 0.045
F 0.287 0.208 0.138
F 0.326 0.724 0.455
F 0.674 0.276 0.545
F 0.713 0.792 0.862
F 0.724 0.326 0.955
F 0.792 0.713 0.362
F 0.879 0.121 0.250

Calculated values
Density of states at the Fermi level (states/eV/f.u.): 0.0
Total DFT energy (no corrections) (eV per atom): -5.1832
Symmetry: C2/c